P) Below is a relaxed structure of AcTbDy2, with properties calculated at the GGA-PBE level.

Values from the calculation:
- V: 34.526 Å³/atom

abc: 5.155 5.176 5.176
angles: 90.00 90.00 90.00
Fractional coordinates of all 4 atoms:
Dy1 0.000 0.500 0.000
Dy2 0.000 0.000 0.500
Ac1 0.500 0.500 0.500
Tb1 0.500 0.000 0.000

Q) Below is a relaxed structure of AcTbDy2, with properties calculated at the GGA-PBE level.

Values from the calculation:
- V: 34.972 Å³/atom

abc: 5.827 5.827 5.827
angles: 60.00 60.00 60.00
Fractional coordinates of all 4 atoms:
Dy1 0.750 0.750 0.750
Tb1 0.000 0.000 0.000
Dy2 0.250 0.250 0.250
Ac1 0.500 0.500 0.500

It comes down to P), which is 80 meV per atom more stable than the next structure.

P) Below is a relaxed structure of AcTb7Dy3, with properties calculated at the GGA-PBE level.

Values from the calculation:
- V: 34.742 Å³/atom

abc: 8.684 7.128 7.128
angles: 120.00 90.00 90.00
Fractional coordinates of all 11 atoms:
Tb1 0.113 0.167 0.833
Dy1 0.787 0.996 0.498
Ac1 0.446 0.333 0.667
Dy2 0.787 0.502 0.004
Dy3 0.787 0.502 0.498
Tb2 0.113 0.167 0.334
Tb3 0.449 0.832 0.664
Tb4 0.449 0.832 0.168
Tb5 0.449 0.336 0.168
Tb6 0.113 0.666 0.833
Tb7 0.119 0.667 0.333

Q) Below is a relaxed structure of AcTb7Dy3, with properties calculated at the GGA-PBE level.

Values from the calculation:
- V: 33.592 Å³/atom

abc: 9.000 9.872 5.614
angles: 90.01 128.58 104.46
Fractional coordinates of all 11 atoms:
Ac1 0.500 0.500 0.500
Tb1 0.354 0.711 0.854
Dy1 0.224 0.006 0.725
Tb2 0.500 0.000 0.500
Tb3 0.166 0.355 0.666
Tb4 0.834 0.645 0.334
Tb5 0.933 0.833 0.933
Dy2 0.776 0.994 0.275
Tb6 0.646 0.289 0.146
Dy3 0.000 0.500 0.000
Tb7 0.067 0.167 0.067

It comes down to Q), which is 70 meV per atom more stable than the next structure.

P) Below is a relaxed structure of AcTb8Dy6, with properties calculated at the GGA-PBE level.

Values from the calculation:
- V: 32.823 Å³/atom

abc: 8.245 8.245 8.245
angles: 71.97 71.97 71.97
Fractional coordinates of all 15 atoms:
Dy1 0.432 0.173 0.617
Tb1 0.858 0.056 0.388
Dy2 0.617 0.432 0.173
Tb2 0.944 0.612 0.142
Tb3 0.763 0.763 0.763
Dy3 0.568 0.827 0.383
Tb4 0.056 0.388 0.858
Tb5 0.388 0.858 0.056
Dy4 0.827 0.383 0.568
Tb6 0.237 0.237 0.237
Ac1 0.000 0.000 0.000
Tb7 0.612 0.142 0.944
Dy5 0.383 0.568 0.827
Dy6 0.173 0.617 0.432
Tb8 0.142 0.944 0.612

Q) Below is a relaxed structure of AcTb8Dy6, with properties calculated at the GGA-PBE level.

Values from the calculation:
- V: 32.904 Å³/atom

abc: 9.059 9.059 8.694
angles: 58.60 58.60 60.00
Fractional coordinates of all 15 atoms:
Dy1 0.468 0.899 0.876
Tb1 0.112 0.744 0.426
Tb2 0.719 0.112 0.426
Dy2 0.899 0.758 0.876
Tb3 0.281 0.888 0.574
Dy3 0.242 0.532 0.124
Tb4 0.256 0.281 0.574
Dy4 0.532 0.101 0.124
Tb5 0.744 0.719 0.426
Tb6 0.423 0.423 0.731
Ac1 0.000 0.000 0.000
Dy5 0.101 0.242 0.124
Dy6 0.758 0.468 0.876
Tb7 0.888 0.256 0.574
Tb8 0.577 0.577 0.269

It comes down to Q), which is 72 meV per atom more stable than the next structure.

P) Below is a relaxed structure of AcTbDy, with properties calculated at the GGA-PBE level.

Values from the calculation:
- V: 37.860 Å³/atom

abc: 5.053 5.053 8.897
angles: 90.00 90.00 90.00
Fractional coordinates of all 6 atoms:
Tb1 0.000 0.000 0.000
Ac1 0.000 0.500 0.320
Dy1 0.000 0.500 0.727
Tb2 0.500 0.500 0.000
Ac2 0.500 0.000 0.680
Dy2 0.500 0.000 0.273

Q) Below is a relaxed structure of AcTbDy, with properties calculated at the GGA-PBE level.

Values from the calculation:
- V: 35.775 Å³/atom

abc: 3.733 3.733 8.142
angles: 103.25 103.25 90.00
Fractional coordinates of all 3 atoms:
Tb1 0.327 0.327 0.654
Dy1 0.673 0.673 0.346
Ac1 0.000 0.000 0.000

R) Below is a relaxed structure of AcTbDy, with properties calculated at the GGA-PBE level.

Values from the calculation:
- V: 35.649 Å³/atom

abc: 6.520 6.502 12.022
angles: 90.00 90.00 122.92
Fractional coordinates of all 12 atoms:
Ac1 0.843 0.260 0.133
Dy1 0.659 0.427 0.382
Dy2 0.341 0.073 0.618
Dy3 0.841 0.573 0.882
Ac2 0.343 0.760 0.367
Tb1 0.488 0.923 0.886
Ac3 0.157 0.240 0.867
Tb2 0.512 0.577 0.114
Tb3 0.988 0.423 0.614
Dy4 0.159 0.927 0.118
Ac4 0.657 0.740 0.633
Tb4 0.012 0.077 0.386

It comes down to Q), which is 11 meV per atom more stable than the next structure.

P) Below is a relaxed structure of AcTbDy, with properties calculated at the GGA-PBE level.

Values from the calculation:
- V: 35.808 Å³/atom

abc: 3.726 3.726 8.935
angles: 90.00 90.00 120.00
Fractional coordinates of all 3 atoms:
Dy1 0.000 0.000 0.009
Tb1 0.667 0.333 0.324
Ac1 0.333 0.667 0.667

Q) Below is a relaxed structure of AcTbDy, with properties calculated at the GGA-PBE level.

Values from the calculation:
- V: 36.048 Å³/atom

abc: 5.967 3.764 9.811
angles: 78.96 90.00 90.00
Fractional coordinates of all 6 atoms:
Dy1 0.928 0.651 0.795
Ac1 0.428 0.536 0.024
Ac2 0.928 0.973 0.149
Tb1 0.928 0.306 0.484
Tb2 0.428 0.203 0.689
Dy2 0.428 0.858 0.379

It comes down to P), which is 6 meV per atom more stable than the next structure.

P) Below is a relaxed structure of AcTb3Dy6, with properties calculated at the GGA-PBE level.

Values from the calculation:
- V: 33.374 Å³/atom

abc: 8.978 9.125 9.125
angles: 116.78 90.00 90.00
Fractional coordinates of all 20 atoms:
Dy1 0.776 0.824 0.531
Dy2 0.776 0.469 0.176
Tb1 0.934 0.031 0.313
Tb2 0.934 0.687 0.969
Dy3 0.605 0.688 0.803
Dy4 0.276 0.176 0.469
Dy5 0.105 0.312 0.197
Tb3 0.915 0.451 0.549
Tb4 0.434 0.969 0.687
Tb5 0.415 0.549 0.451
Dy6 0.642 0.287 0.713
Ac1 0.517 0.778 0.222
Dy7 0.782 0.049 0.951
Dy8 0.142 0.713 0.287
Dy9 0.276 0.531 0.824
Tb6 0.434 0.313 0.031
Dy10 0.105 0.803 0.688
Dy11 0.282 0.951 0.049
Dy12 0.605 0.197 0.312
Ac2 0.017 0.222 0.778

Q) Below is a relaxed structure of AcTb3Dy6, with properties calculated at the GGA-PBE level.

Values from the calculation:
- V: 33.815 Å³/atom

abc: 9.869 9.869 6.967
angles: 44.90 44.90 60.00
Fractional coordinates of all 10 atoms:
Tb1 0.162 0.162 0.515
Dy1 0.900 0.556 0.300
Tb2 0.638 0.638 0.086
Ac1 0.900 0.900 0.300
Dy2 0.067 0.400 0.799
Dy3 0.244 0.900 0.300
Tb3 0.400 0.400 0.801
Dy4 0.733 0.067 0.799
Dy5 0.400 0.733 0.799
Dy6 0.556 0.244 0.300

It comes down to P), which is 172 meV per atom more stable than the next structure.

P) Below is a relaxed structure of AcTb6Dy3, with properties calculated at the GGA-PBE level.

Values from the calculation:
- V: 34.014 Å³/atom

abc: 9.872 9.872 6.981
angles: 45.00 45.00 60.00
Fractional coordinates of all 10 atoms:
Ac1 0.900 0.900 0.300
Tb1 0.900 0.556 0.300
Tb2 0.734 0.067 0.800
Tb3 0.067 0.400 0.800
Dy1 0.638 0.638 0.086
Tb4 0.245 0.900 0.300
Tb5 0.400 0.734 0.800
Dy2 0.400 0.400 0.801
Tb6 0.556 0.245 0.300
Dy3 0.161 0.161 0.516

Q) Below is a relaxed structure of AcTb6Dy3, with properties calculated at the GGA-PBE level.

Values from the calculation:
- V: 33.486 Å³/atom

abc: 9.006 9.117 9.117
angles: 116.54 90.00 90.00
Fractional coordinates of all 20 atoms:
Tb1 0.105 0.315 0.199
Tb2 0.275 0.177 0.470
Dy1 0.434 0.968 0.686
Dy2 0.434 0.314 0.032
Tb3 0.105 0.801 0.685
Tb4 0.775 0.470 0.177
Ac1 0.019 0.221 0.779
Dy3 0.934 0.686 0.968
Dy4 0.414 0.550 0.450
Dy5 0.914 0.450 0.550
Tb5 0.781 0.048 0.952
Tb6 0.281 0.952 0.048
Tb7 0.275 0.530 0.823
Tb8 0.644 0.284 0.716
Tb9 0.605 0.685 0.801
Dy6 0.934 0.032 0.314
Tb10 0.775 0.823 0.530
Ac2 0.519 0.779 0.221
Tb11 0.144 0.716 0.284
Tb12 0.605 0.199 0.315

It comes down to Q), which is 166 meV per atom more stable than the next structure.

P) Below is a relaxed structure of AcTb12Dy7, with properties calculated at the GGA-PBE level.

Values from the calculation:
- V: 36.640 Å³/atom

abc: 9.837 9.837 9.837
angles: 109.47 109.47 109.47
Fractional coordinates of all 20 atoms:
Tb1 0.262 0.261 0.523
Tb2 0.477 0.738 0.739
Tb3 0.739 0.001 0.262
Dy1 0.000 0.500 0.000
Ac1 0.000 0.000 0.000
Tb4 0.261 0.523 0.262
Dy2 0.500 0.500 0.000
Tb5 0.523 0.262 0.261
Tb6 0.738 0.261 0.999
Tb7 0.999 0.738 0.261
Tb8 0.738 0.739 0.477
Tb9 0.001 0.262 0.739
Dy3 0.500 0.000 0.500
Dy4 0.500 0.500 0.500
Dy5 0.500 0.000 0.000
Dy6 0.000 0.000 0.500
Tb10 0.261 0.999 0.738
Tb11 0.739 0.477 0.738
Dy7 0.000 0.500 0.500
Tb12 0.262 0.739 0.001

Q) Below is a relaxed structure of AcTb12Dy7, with properties calculated at the GGA-PBE level.

Values from the calculation:
- V: 33.274 Å³/atom

abc: 8.740 8.740 8.740
angles: 87.37 87.37 87.37
Fractional coordinates of all 20 atoms:
Dy1 0.393 0.064 0.155
Tb1 0.865 0.506 0.378
Dy2 0.155 0.393 0.064
Tb2 0.851 0.272 0.722
Dy3 0.936 0.845 0.607
Dy4 0.845 0.607 0.936
Tb3 0.378 0.865 0.506
Tb4 0.506 0.378 0.865
Tb5 0.728 0.278 0.149
Ac1 0.000 0.000 0.000
Tb6 0.149 0.728 0.278
Tb7 0.722 0.851 0.272
Tb8 0.135 0.494 0.622
Tb9 0.622 0.135 0.494
Dy5 0.500 0.500 0.500
Tb10 0.278 0.149 0.728
Dy6 0.064 0.155 0.393
Tb11 0.494 0.622 0.135
Dy7 0.607 0.936 0.845
Tb12 0.272 0.722 0.851

It comes down to Q), which is 428 meV per atom more stable than the next structure.

P) Below is a relaxed structure of AcDy2Tc, with properties calculated at the GGA-PBE level.

Values from the calculation:
- V: 30.777 Å³/atom

abc: 3.571 3.571 11.338
angles: 80.94 80.94 60.00
Fractional coordinates of all 4 atoms:
Dy1 0.109 0.109 0.674
Tc1 0.500 0.500 0.500
Dy2 0.891 0.891 0.326
Ac1 0.000 0.000 0.000

Q) Below is a relaxed structure of AcDy2Tc, with properties calculated at the GGA-PBE level.

Values from the calculation:
- V: 29.390 Å³/atom

abc: 3.532 3.532 9.426
angles: 90.00 90.00 90.00
Fractional coordinates of all 4 atoms:
Dy1 0.000 0.000 0.172
Tc1 0.500 0.500 0.000
Dy2 0.000 0.000 0.828
Ac1 0.500 0.500 0.500

It comes down to Q), which is 232 meV per atom more stable than the next structure.

P) Below is a relaxed structure of AcDyTe, with properties calculated at the GGA-PBE level.

Values from the calculation:
- V: 34.151 Å³/atom

abc: 4.020 4.020 6.947
angles: 106.82 106.82 90.00
Fractional coordinates of all 3 atoms:
Dy1 0.307 0.307 0.613
Te1 0.691 0.691 0.382
Ac1 0.002 0.002 0.005

Q) Below is a relaxed structure of AcDyTe, with properties calculated at the GGA-PBE level.

Values from the calculation:
- V: 34.760 Å³/atom

abc: 4.211 5.347 5.347
angles: 120.00 90.00 90.00
Fractional coordinates of all 3 atoms:
Te1 0.166 0.333 0.667
Ac1 0.667 0.667 0.333
Dy1 0.167 0.000 0.000

It comes down to P), which is 194 meV per atom more stable than the next structure.